Model 1:
An optimized crystal structure of NdPaRh3, computed with PBE. Values from VASP.

```
&SYSTEM
  ibrav = 0, nat = 10, ntyp = 3
/
ATOMIC_SPECIES
Nd 144.24 Nd.upf
Pa 231.04 Pa.upf
Rh 102.91 Rh.upf
CELL_PARAMETERS angstrom
4.005 0.000 1.326
0.000 5.528 0.000
1.106 0.000 10.082
ATOMIC_POSITIONS crystal
Nd 0.153 0.750 0.348
Nd 0.847 0.250 0.652
Pa 0.835 0.250 0.165
Pa 0.165 0.750 0.835
Rh 0.500 0.000 0.000
Rh 0.500 0.500 0.000
Rh 0.876 0.750 0.124
Rh 0.124 0.250 0.876
Rh 0.573 0.250 0.426
Rh 0.427 0.750 0.574
```

Size of the total moment   0.000 μB/f.u.

Model 2:
An optimized crystal structure of NdPaRh3, computed with PBE. Values from VASP.

```
&SYSTEM
  ibrav = 0, nat = 10, ntyp = 3
/
ATOMIC_SPECIES
Nd 144.24 Nd.upf
Pa 231.04 Pa.upf
Rh 102.91 Rh.upf
CELL_PARAMETERS angstrom
-4.231 1.383 -3.876
-5.005 -3.124 -0.144
-6.255 4.258 3.835
ATOMIC_POSITIONS crystal
Nd 0.440 0.566 0.472
Nd 0.679 0.806 0.752
Pa 0.052 0.179 0.635
Pa 0.889 0.016 0.122
Rh 0.967 0.093 0.386
Rh 0.612 0.279 0.874
Rh 0.152 0.739 0.874
Rh 0.152 0.279 0.874
Rh 0.967 0.600 0.386
Rh 0.474 0.093 0.385
```

Size of the total moment   0.000 μB/f.u.

Energy ordering: model 1 at the bottom, the next structure 155 meV per atom above.

Model 1:
An optimized crystal structure of NdPaRh, computed with PBE. Values from VASP.

```
&SYSTEM
  ibrav = 0, nat = 3, ntyp = 3
/
ATOMIC_SPECIES
Rh 102.91 Rh.upf
Pa 231.04 Pa.upf
Nd 144.24 Nd.upf
CELL_PARAMETERS angstrom
-1.838 -2.732 1.447
2.557 -0.398 2.498
-3.105 5.206 1.418
ATOMIC_POSITIONS crystal
Rh 0.702 0.702 0.403
Pa 0.299 0.299 0.598
Nd 0.000 0.000 0.999
```

Size of the total moment   0.000 μB/f.u.

Model 2:
An optimized crystal structure of NdPaRh, computed with PBE. Values from VASP.

```
&SYSTEM
  ibrav = 0, nat = 18, ntyp = 3
/
ATOMIC_SPECIES
Nd 144.24 Nd.upf
Rh 102.91 Rh.upf
Pa 231.04 Pa.upf
CELL_PARAMETERS angstrom
-3.652 -3.046 4.887
1.767 -5.414 -6.811
6.655 -7.516 0.289
ATOMIC_POSITIONS crystal
Nd 0.261 0.416 0.542
Nd 0.844 0.584 0.458
Nd 0.655 0.000 0.250
Nd 0.654 0.000 0.750
Nd 0.845 0.584 0.958
Nd 0.261 0.416 0.042
Rh 0.177 0.000 0.750
Rh 0.177 0.000 0.250
Rh 0.587 0.640 0.180
Rh 0.947 0.360 0.820
Rh 0.947 0.360 0.320
Rh 0.587 0.640 0.680
Pa 0.966 0.000 0.000
Pa 0.966 0.000 0.500
Pa 0.499 0.216 0.392
Pa 0.283 0.784 0.608
Pa 0.283 0.784 0.108
Pa 0.499 0.216 0.892
```

Size of the total moment   0.000 μB/f.u.

Energy ordering: model 2 at the bottom, the next structure 7 meV per atom above.

Model 1:
An optimized crystal structure of NdPaRh4, computed with PBE. Values from VASP.

```
&SYSTEM
  ibrav = 0, nat = 6, ntyp = 3
/
ATOMIC_SPECIES
Rh 102.91 Rh.upf
Pa 231.04 Pa.upf
Nd 144.24 Nd.upf
CELL_PARAMETERS angstrom
5.364 0.000 0.000
2.682 4.646 0.000
2.682 1.549 4.380
ATOMIC_POSITIONS crystal
Rh 0.625 0.625 0.125
Rh 0.625 0.125 0.625
Rh 0.625 0.625 0.625
Rh 0.125 0.625 0.625
Pa 0.250 0.250 0.250
Nd 0.000 0.000 0.000
```

Size of the total moment   0.000 μB/f.u.

Model 2:
An optimized crystal structure of NdPaRh4, computed with PBE. Values from VASP.

```
&SYSTEM
  ibrav = 0, nat = 12, ntyp = 3
/
ATOMIC_SPECIES
Nd 144.24 Nd.upf
Pa 231.04 Pa.upf
Rh 102.91 Rh.upf
CELL_PARAMETERS angstrom
5.333 0.000 -0.512
0.000 6.361 0.000
-2.077 -3.180 7.148
ATOMIC_POSITIONS crystal
Nd 0.873 0.805 0.611
Nd 0.127 0.195 0.389
Pa 0.186 0.424 0.848
Pa 0.814 0.576 0.152
Rh 0.299 0.702 0.404
Rh 0.456 0.104 0.776
Rh 0.000 0.205 0.000
Rh 0.544 0.328 0.224
Rh 0.701 0.298 0.596
Rh 0.544 0.896 0.224
Rh 0.000 0.795 0.000
Rh 0.456 0.672 0.776
```

Size of the total moment   0.000 μB/f.u.

Energy ordering: model 1 at the bottom, the next structure 85 meV per atom above.